Record 1
Crystalline Ba3Li2Mg2Hg4 at its relaxed geometry, computed with PBE.

Values from the calculation:
E_form, kcal/mol of atoms: -6.65

Lattice parameters (Å, degrees): 5.008 5.008 16.648 90.00 90.00 120.00
Positions (direct):
Ba 0.000 0.000 0.000
Ba 0.000 0.000 0.277
Ba 0.000 0.000 0.723
Li 0.333 0.667 0.139
Li 0.667 0.333 0.861
Mg 0.333 0.667 0.563
Mg 0.667 0.333 0.437
Hg 0.333 0.667 0.394
Hg 0.333 0.667 0.864
Hg 0.667 0.333 0.136
Hg 0.667 0.333 0.606

***

Record 2
Crystalline HfMg3N at its relaxed geometry, computed with PBE.

Values from the calculation:
Uncorrected energy, eV/f.u.: -12.45

Lattice parameters (Å, degrees): 5.830 5.830 5.830 90.00 90.00 90.00
Positions (direct):
Hf 0.000 0.000 0.000
Mg 0.000 0.000 0.500
Mg 0.000 0.500 0.000
Mg 0.500 0.000 0.000
N 0.500 0.500 0.500

***

Number 1: DOS at the Fermi energy 8.8 states/eV/f.u., size of the total moment 0.0 μB per formula unit. Number 2: DOS at the Fermi energy 5.8 states/eV/f.u., size of the total moment 0.4 μB per formula unit.